# PBE-GGA HgOsO2, relaxed
data_HgOsO2
_space_group_name_H-M_alt 'I 41/a m d'
_space_group_IT_number 141
_cell_length_a 6.232
_cell_length_b 6.232
_cell_length_c 8.467
_cell_angle_alpha 90.00
_cell_angle_beta 90.00
_cell_angle_gamma 90.00
loop_
_space_group_symop_operation_xyz
'x,y,z'
'-x,-y,-z'
'-y+1/4,x+3/4,z+1/4'
'y+1/4,-x+3/4,-z+1/4'
'-x+1/2,-y,z+1/2'
'x+1/2,y,-z+1/2'
'y+1/4,-x+1/4,z+3/4'
'-y+1/4,x+1/4,-z+3/4'
'x,-y,-z'
'-x,y,z'
'-y+1/4,-x+1/4,-z+3/4'
'y+1/4,x+1/4,z+3/4'
'-x+1/2,y,-z+1/2'
'x+1/2,-y,z+1/2'
'y+1/4,x+3/4,-z+1/4'
'-y+1/4,-x+3/4,z+1/4'
'x+1/2,y+1/2,z+1/2'
'-x+1/2,-y+1/2,-z+1/2'
'-y+3/4,x+1/4,z+3/4'
'y+3/4,-x+1/4,-z+3/4'
'-x,-y+1/2,z'
'x,y+1/2,-z'
'y+3/4,-x+3/4,z+1/4'
'-y+3/4,x+3/4,-z+1/4'
'x+1/2,-y+1/2,-z+1/2'
'-x+1/2,y+1/2,z+1/2'
'-y+3/4,-x+3/4,-z+1/4'
'y+3/4,x+3/4,z+1/4'
'-x,y+1/2,-z'
'x,-y+1/2,z'
'y+3/4,x+1/4,-z+3/4'
'-y+3/4,-x+1/4,z+3/4'
loop_
_atom_site_label
_atom_site_type_symbol
_atom_site_fract_x
_atom_site_fract_y
_atom_site_fract_z
Hg1 Hg 0.000 0.250 0.375
Os1 Os 0.000 0.250 0.875
O1 O 0.000 0.000 0.000
# DOS(E_F)	3.3	states/eV/f.u.
# crystal system	tetragonal
# raw formation energy	-18.4	kJ per mole of atoms
# spin magnetization	0.000	μB/cell